(1)
! PrSiPt PBE relaxed; values from VASP
! Crystal system = tetragonal
! Total energy = -39.25 eV/cell
! Volume = 21.82 Å³/atom
&SYSTEM
  ibrav = 0, nat = 6, ntyp = 3
/
ATOMIC_SPECIES
Pr 140.91 Pr.upf
Si 28.09 Si.upf
Pt 195.08 Pt.upf
CELL_PARAMETERS angstrom
-2.1236 2.1236 7.2561
2.1236 -2.1236 7.2561
2.1236 2.1236 -7.2561
ATOMIC_POSITIONS crystal
Pr 0.0000 0.0000 0.0000
Pr 0.7500 0.2500 0.5000
Si 0.1696 0.6696 0.5000
Si 0.4196 0.4196 0.0000
Pt 0.3379 0.8379 0.5000
Pt 0.5879 0.5879 0.0000


(2)
! PrSiPt3 PBE relaxed; values from VASP
! Crystal system = tetragonal
! E above lowest polymorph = 0.000 eV/atom
! Total energy = -33.65 eV/cell
! Volume = 18.65 Å³/atom
&SYSTEM
  ibrav = 0, nat = 5, ntyp = 3
/
ATOMIC_SPECIES
Pr 140.91 Pr.upf
Si 28.09 Si.upf
Pt 195.08 Pt.upf
CELL_PARAMETERS angstrom
-2.0572 2.0572 5.5094
2.0572 -2.0572 5.5094
2.0572 2.0572 -5.5094
ATOMIC_POSITIONS crystal
Pr 0.0000 0.0000 0.0000
Si 0.3722 0.3722 0.0000
Pt 0.2568 0.7568 0.5000
Pt 0.5823 0.5823 0.0000
Pt 0.7568 0.2568 0.5000


(3)
! PrSiPt3 PBE relaxed; values from VASP
! Crystal system = orthorhombic
! E above lowest polymorph = 0.314 eV/atom
! Total energy = -32.08 eV/cell
! Volume = 20.31 Å³/atom
&SYSTEM
  ibrav = 0, nat = 5, ntyp = 3
/
ATOMIC_SPECIES
Pr 140.91 Pr.upf
Si 28.09 Si.upf
Pt 195.08 Pt.upf
CELL_PARAMETERS angstrom
2.9069 -3.7231 0.0000
2.9069 3.7231 0.0000
0.0000 0.0000 4.6926
ATOMIC_POSITIONS crystal
Pr 0.0000 0.0000 0.0000
Si 0.5000 0.5000 0.5000
Pt 0.0000 0.5000 0.5000
Pt 0.5000 0.0000 0.5000
Pt 0.5000 0.5000 0.0000


no.,M_tot (μB/f.u.),formation energy (no corrections) (eV per atom)
1,0.000,-1.127
2,0.000,-1.064
3,0.000,-0.751